# 1
This record from Alexandria describes TiBe2Nb after structural relaxation. The functional is PBE.

a = 3.884 Å, b = 3.884 Å, c = 3.480 Å
α = 90.00°, β = 90.00°, γ = 90.00°
Sites, in units of the cell vectors:
Ti  0.000  0.000  0.000
Be  0.000  0.500  0.500
Be  0.500  0.000  0.500
Nb  0.500  0.500  0.000

Results
Calculated total energy, eV per atom: -6.45
Distance to the lowest polymorph of the same formula, kcal/mol of atoms: 0.00
Calculated formation energy, eV/atom: -0.09
Total moment, μB per formula unit: 0.0
Fermi-level density of states, states/eV/atom: 0.63
Calculated volume, Å³/cell: 52.5
Calculated density, Mg/m³: 5.0

---

# 2
This record from Alexandria describes Ti3Be12Nb5 after structural relaxation. The functional is PBE.

a = 11.727 Å, b = 11.727 Å, c = 11.727 Å
α = 109.47°, β = 109.47°, γ = 109.47°
Sites, in units of the cell vectors:
Ti  0.125  0.250  0.375
Ti  0.125  0.375  0.750
Ti  0.250  0.375  0.125
Ti  0.250  0.875  0.625
Ti  0.375  0.125  0.250
Ti  0.375  0.750  0.125
Ti  0.625  0.250  0.875
Ti  0.625  0.875  0.750
Ti  0.750  0.125  0.375
Ti  0.750  0.625  0.875
Ti  0.875  0.625  0.250
Ti  0.875  0.750  0.625
Be  0.070  0.658  0.429
Be  0.070  0.912  0.641
Be  0.071  0.729  0.641
Be  0.071  0.842  0.430
Be  0.088  0.229  0.158
Be  0.088  0.359  0.930
Be  0.141  0.229  0.571
Be  0.141  0.412  0.570
Be  0.158  0.088  0.229
Be  0.158  0.570  0.929
Be  0.229  0.158  0.088
Be  0.229  0.571  0.141
Be  0.271  0.359  0.929
Be  0.271  0.412  0.342
Be  0.342  0.271  0.412
Be  0.342  0.571  0.930
Be  0.359  0.929  0.271
Be  0.359  0.930  0.088
Be  0.412  0.342  0.271
Be  0.412  0.570  0.141
Be  0.429  0.070  0.658
Be  0.429  0.859  0.771
Be  0.430  0.071  0.842
Be  0.430  0.859  0.588
Be  0.570  0.141  0.412
Be  0.570  0.929  0.158
Be  0.571  0.141  0.229
Be  0.571  0.930  0.342
Be  0.588  0.430  0.859
Be  0.588  0.658  0.729
Be  0.641  0.070  0.912
Be  0.641  0.071  0.729
Be  0.658  0.429  0.070
Be  0.658  0.729  0.588
Be  0.729  0.588  0.658
Be  0.729  0.641  0.071
Be  0.771  0.429  0.859
Be  0.771  0.842  0.912
Be  0.842  0.430  0.071
Be  0.842  0.912  0.771
Be  0.859  0.588  0.430
Be  0.859  0.771  0.429
Be  0.912  0.641  0.070
Be  0.912  0.771  0.842
Be  0.929  0.158  0.570
Be  0.929  0.271  0.359
Be  0.930  0.088  0.359
Be  0.930  0.342  0.571
Nb  0.000  0.000  0.000
Nb  0.000  0.000  0.500
Nb  0.000  0.500  0.000
Nb  0.000  0.500  0.500
Nb  0.125  0.750  0.875
Nb  0.125  0.875  0.250
Nb  0.250  0.125  0.875
Nb  0.250  0.625  0.375
Nb  0.375  0.250  0.625
Nb  0.375  0.625  0.750
Nb  0.500  0.000  0.000
Nb  0.500  0.000  0.500
Nb  0.500  0.500  0.000
Nb  0.500  0.500  0.500
Nb  0.625  0.375  0.250
Nb  0.625  0.750  0.375
Nb  0.750  0.375  0.625
Nb  0.750  0.875  0.125
Nb  0.875  0.125  0.750
Nb  0.875  0.250  0.125

Results
Calculated total energy, eV per atom: -4.90
Calculated formation energy, eV/atom: 1.04
Total moment, μB per formula unit: 0.0
Fermi-level density of states, states/eV/atom: 0.97
Calculated volume, Å³/cell: 1241.3
Calculated density, Mg/m³: 3.8

---

# 3
This record from Alexandria describes TiBe2Nb after structural relaxation. The functional is PBE.

a = 5.937 Å, b = 5.937 Å, c = 5.937 Å
α = 90.00°, β = 90.00°, γ = 90.00°
Sites, in units of the cell vectors:
Ti  0.000  0.000  0.000
Ti  0.000  0.500  0.500
Ti  0.500  0.000  0.500
Ti  0.500  0.500  0.000
Be  0.250  0.250  0.250
Be  0.250  0.250  0.750
Be  0.250  0.750  0.250
Be  0.250  0.750  0.750
Be  0.750  0.250  0.250
Be  0.750  0.250  0.750
Be  0.750  0.750  0.250
Be  0.750  0.750  0.750
Nb  0.000  0.000  0.500
Nb  0.000  0.500  0.000
Nb  0.500  0.000  0.000
Nb  0.500  0.500  0.500

Results
Calculated total energy, eV per atom: -6.40
Distance to the lowest polymorph of the same formula, kcal/mol of atoms: 1.13
Calculated formation energy, eV/atom: -0.04
Total moment, μB per formula unit: 0.0
Fermi-level density of states, states/eV/atom: 1.24
Calculated volume, Å³/cell: 209.2
Calculated density, Mg/m³: 5.0

---

# 4
This record from Alexandria describes TiBe2Nb after structural relaxation. The functional is PBE.

a = 6.716 Å, b = 6.716 Å, c = 4.862 Å
α = 90.00°, β = 90.00°, γ = 90.00°
Sites, in units of the cell vectors:
Ti  0.000  0.000  0.000
Ti  0.000  0.500  0.250
Ti  0.500  0.000  0.750
Ti  0.500  0.500  0.500
Be  0.246  0.250  0.125
Be  0.250  0.746  0.375
Be  0.250  0.754  0.875
Be  0.254  0.250  0.625
Be  0.746  0.750  0.625
Be  0.750  0.246  0.875
Be  0.750  0.254  0.375
Be  0.754  0.750  0.125
Nb  0.000  0.000  0.500
Nb  0.000  0.500  0.750
Nb  0.500  0.000  0.250
Nb  0.500  0.500  0.000

Results
Calculated total energy, eV per atom: -6.03
Distance to the lowest polymorph of the same formula, kcal/mol of atoms: 9.60
Calculated formation energy, eV/atom: 0.32
Total moment, μB per formula unit: 0.0
Fermi-level density of states, states/eV/atom: 0.72
Calculated volume, Å³/cell: 219.3
Calculated density, Mg/m³: 4.8

---

# 5
This record from Alexandria describes Ti3BeNb after structural relaxation. The functional is PBE.

a = 4.392 Å, b = 4.392 Å, c = 4.392 Å
α = 90.00°, β = 90.00°, γ = 90.00°
Sites, in units of the cell vectors:
Ti  0.000  0.000  0.500
Ti  0.000  0.500  0.000
Ti  0.500  0.000  0.000
Be  0.000  0.000  0.000
Nb  0.500  0.500  0.500

Results
Calculated total energy, eV per atom: -6.99
Distance to the lowest polymorph of the same formula, kcal/mol of atoms: 0.00
Calculated formation energy, eV/atom: 0.50
Total moment, μB per formula unit: 1.9
Fermi-level density of states, states/eV/atom: 1.42
Calculated volume, Å³/cell: 84.7
Calculated density, Mg/m³: 4.8

---

# 6
This record from Alexandria describes TiBe3Nb after structural relaxation. The functional is PBE.

a = 4.286 Å, b = 4.286 Å, c = 4.286 Å
α = 90.00°, β = 90.00°, γ = 90.00°
Sites, in units of the cell vectors:
Ti  0.000  0.000  0.000
Be  0.000  0.500  0.500
Be  0.500  0.000  0.500
Be  0.500  0.500  0.000
Nb  0.500  0.500  0.500

Results
Calculated total energy, eV per atom: -4.61
Distance to the lowest polymorph of the same formula, kcal/mol of atoms: 31.62
Calculated formation energy, eV/atom: 1.22
Total moment, μB per formula unit: 0.0
Fermi-level density of states, states/eV/atom: 1.22
Calculated volume, Å³/cell: 78.7
Calculated density, Mg/m³: 3.5

---

# 7
This record from Alexandria describes Ti2Be9Nb after structural relaxation. The functional is PBE.

a = 4.504 Å, b = 4.504 Å, c = 14.020 Å
α = 90.00°, β = 90.00°, γ = 120.00°
Sites, in units of the cell vectors:
Ti  0.333  0.667  0.039
Ti  0.333  0.667  0.461
Ti  0.667  0.333  0.539
Ti  0.667  0.333  0.961
Be  0.000  0.000  0.000
Be  0.000  0.000  0.250
Be  0.000  0.000  0.500
Be  0.000  0.000  0.750
Be  0.167  0.335  0.629
Be  0.167  0.335  0.871
Be  0.167  0.833  0.629
Be  0.167  0.833  0.871
Be  0.333  0.667  0.750
Be  0.335  0.167  0.129
Be  0.335  0.167  0.371
Be  0.665  0.833  0.629
Be  0.665  0.833  0.871
Be  0.667  0.333  0.250
Be  0.833  0.167  0.129
Be  0.833  0.167  0.371
Be  0.833  0.665  0.129
Be  0.833  0.665  0.371
Nb  0.333  0.667  0.250
Nb  0.667  0.333  0.750

Results
Calculated total energy, eV per atom: -5.19
Calculated formation energy, eV/atom: -0.24
Total moment, μB per formula unit: 1.5
Fermi-level density of states, states/eV/atom: 0.30
Calculated volume, Å³/cell: 246.3
Calculated density, Mg/m³: 3.6

---

# 8
This record from Alexandria describes TiBe3Nb after structural relaxation. The functional is PBE.

a = 11.230 Å, b = 11.230 Å, c = 3.655 Å
α = 90.00°, β = 90.00°, γ = 164.60°
Sites, in units of the cell vectors:
Ti  0.210  0.790  0.750
Ti  0.790  0.210  0.250
Be  0.331  0.669  0.750
Be  0.381  0.619  0.250
Be  0.476  0.524  0.250
Be  0.524  0.476  0.750
Be  0.619  0.381  0.750
Be  0.669  0.331  0.250
Nb  0.072  0.928  0.250
Nb  0.928  0.072  0.750

Results
Calculated total energy, eV per atom: -5.98
Distance to the lowest polymorph of the same formula, kcal/mol of atoms: 0.00
Calculated formation energy, eV/atom: -0.15
Total moment, μB per formula unit: 0.5
Fermi-level density of states, states/eV/atom: 0.62
Calculated volume, Å³/cell: 122.4
Calculated density, Mg/m³: 4.6